No. 1
Compound: Ir2Cl2F
Source: Alexandria via LeMat-Bulk
Functional: PBE-GGA
Structure: relaxed

Computed properties:
Total magnetic moment   0.00 μB/f.u.
Total energy   -4.4998 eV/atom
Symmetry   I4/mmm, No. 139
Energy relative to the elements, uncorrected   15.2 kJ/mol of atoms
Distance to the lowest polymorph of the same formula   0 meV per atom
V   81.31 Å³ per cell

abc: 4.831 4.831 4.879
angles: 60.32 60.32 90.00
Fractional coordinates of all 5 atoms:
Cl (0.250, 0.750, 0.500)
Ir (0.680, 0.680, 0.640)
Ir (0.320, 0.320, 0.360)
F (0.000, 0.000, 0.000)
Cl (0.750, 0.250, 0.500)

No. 2
Compound: Ir2Cl8F
Source: Alexandria via LeMat-Bulk
Functional: PBE-GGA
Structure: relaxed

Computed properties:
Total magnetic moment   3.05 μB/f.u.
Total energy   -3.4752 eV/atom
Symmetry   C2/m, No. 12
Energy relative to the elements, uncorrected   -33.9 kJ/mol of atoms
V   268.26 Å³ per cell

abc: 6.479 7.394 7.394
angles: 57.51 67.29 67.29
Site moments in Bohr magnetons follow the coordinates.
Fractional coordinates of all 11 atoms:
Cl (0.714, 0.349, 0.349)  0.24
Ir (0.499, 0.752, 0.752)  0.71
Cl (0.731, 0.878, 0.390)  0.03
Cl (0.286, 0.651, 0.651)  0.24
Cl (0.731, 0.390, 0.878)  0.03
F (0.000, 0.000, 0.000)  0.09
Cl (0.269, 0.122, 0.610)  0.03
Cl (0.702, 0.855, 0.855)  0.27
Ir (0.501, 0.248, 0.248)  0.71
Cl (0.298, 0.145, 0.145)  0.27
Cl (0.269, 0.610, 0.122)  0.03

No. 3
Compound: IrCl3F
Source: Alexandria via LeMat-Bulk
Functional: PBE-GGA
Structure: relaxed

Computed properties:
Total magnetic moment   1.06 μB/f.u.
Total energy   -3.8583 eV/atom
Symmetry   Pmn2_1, No. 31
Energy relative to the elements, uncorrected   -58.3 kJ/mol of atoms
Distance to the lowest polymorph of the same formula   0 meV per atom
V   225.09 Å³ per cell

abc: 5.415 6.486 6.409
angles: 90.00 90.00 89.99
Site moments in Bohr magnetons follow the coordinates.
Fractional coordinates of all 10 atoms:
F (0.884, 0.916, 0.201)  0.12
Ir (0.178, 0.686, 0.701)  0.53
Cl (0.932, 0.509, 0.454)  0.04
Cl (0.932, 0.509, 0.947)  0.04
Cl (0.452, 0.372, 0.201)  0.22
Cl (0.432, 0.843, 0.954)  0.04
F (0.384, 0.437, 0.701)  0.12
Cl (0.952, 0.981, 0.701)  0.22
Ir (0.678, 0.667, 0.201)  0.53
Cl (0.432, 0.843, 0.447)  0.04